# ScZnNiHg

A relaxed ScZnNiHg crystal (PBE, OQMD via LeMat-Bulk).

POSCAR file:
```
ScZnNiHg
1.0
0.000 3.221 3.221
3.221 0.000 3.221
3.221 3.221 0.000
Sc Zn Ni Hg
1 1 1 1
direct
0.000 0.000 0.000 Sc
0.500 0.500 0.500 Zn
0.750 0.750 0.750 Ni
0.250 0.250 0.250 Hg
```

As for the magnetization: 0.00 μB/atom. As for the uncorrected energy: -3.5966 eV/atom. For the energy relative to the elements, the calculation gives -90 kJ/mol of formula units. Its energy above the lowest structure with this stoichiometry is 0.000 eV/atom.